Tm4HgPd15 | PBE-GGA | optimized geometry

Geometry as POSCAR:
```
Tm4HgPd15
1.0
4.073 0.000 0.000
0.000 4.073 0.000
0.000 0.000 20.571
Tm Hg Pd
4 1 15
Cartesian
0.000 0.000 4.094
0.000 0.000 8.227
0.000 0.000 12.344
0.000 0.000 16.478
0.000 0.000 0.000
2.037 2.037 0.000
2.037 2.037 4.120
2.037 2.037 8.217
2.037 2.037 12.355
2.037 2.037 16.451
2.037 0.000 2.062
2.037 0.000 6.167
2.037 0.000 10.286
2.037 0.000 14.405
2.037 0.000 18.510
0.000 2.037 2.062
0.000 2.037 6.167
0.000 2.037 10.286
0.000 2.037 14.405
0.000 2.037 18.510
```

Values from the calculation:
ρ (g/cm³): 12.03
Magnetic moment (μB/f.u.): 0.00

---

TmHgPd | PBE-GGA | optimized geometry

Geometry as POSCAR:
```
TmHgPd
1.0
-2.038 2.695 -0.174
-3.747 -2.841 -0.108
1.673 1.531 4.121
Tm Hg Pd
1 1 1
Cartesian
-3.299 0.412 1.186
-0.339 0.449 -0.029
-0.475 0.524 2.683
```

Values from the calculation:
ρ (g/cm³): 12.19
Magnetic moment (μB/f.u.): 0.00

---

Tm12HgPd6 | PBE-GGA | optimized geometry

Geometry as POSCAR:
```
Tm12HgPd6
1.0
-0.443 8.275 -1.768
2.686 -4.211 -6.845
-7.671 -2.828 2.226
Tm Hg Pd
12 1 6
Cartesian
-6.103 -0.350 0.537
-0.250 -0.089 -3.373
-5.179 1.326 -3.014
0.674 1.586 -6.925
-0.107 -3.352 -5.140
-1.975 2.342 -1.436
-3.454 -1.105 -4.951
-5.322 4.588 -1.248
-0.429 5.214 -3.209
-2.945 -1.075 -1.274
-2.484 2.311 -5.114
-5.000 -3.977 -3.178
0.000 0.000 0.000
-5.426 -1.550 -2.144
-0.003 2.787 -4.243
-0.681 -0.512 -5.976
-4.748 1.748 -0.411
-3.247 4.193 -2.884
-2.182 -2.956 -3.503
```

Values from the calculation:
ρ (g/cm³): 10.16
Magnetic moment (μB/f.u.): 0.00

---

Tm3Hg4Pd2 | PBE-GGA | optimized geometry

Geometry as POSCAR:
```
Tm3Hg4Pd2
1.0
5.224 0.135 0.519
0.755 8.443 2.775
0.383 -0.651 8.888
Tm Hg Pd
6 8 4
Cartesian
1.418 7.740 8.919
2.434 2.601 1.336
4.944 0.188 3.263
3.928 5.326 10.846
1.835 2.946 6.623
4.527 4.982 5.559
3.131 0.202 7.663
5.572 1.160 9.236
3.231 7.725 4.519
0.790 6.767 2.946
4.177 6.692 8.000
4.880 3.348 3.067
2.185 1.235 4.182
1.482 4.580 9.115
1.702 5.944 6.435
2.144 4.240 3.925
4.660 1.983 5.747
4.219 3.688 8.257
```

Values from the calculation:
ρ (g/cm³): 12.68
Magnetic moment (μB/f.u.): 0.00

---

TmHg2Pd | PBE-GGA | optimized geometry

Geometry as POSCAR:
```
TmHg2Pd
1.0
4.331 0.000 -1.201
-0.333 4.318 -1.201
0.199 0.215 9.127
Tm Hg Pd
2 4 2
Cartesian
0.619 0.669 2.233
3.578 3.864 4.491
-0.167 2.159 -0.601
2.165 0.000 -0.601
1.581 1.707 5.700
2.616 2.826 1.025
0.932 3.346 3.362
3.264 1.187 3.362
```

Values from the calculation:
ρ (g/cm³): 12.99
Magnetic moment (μB/f.u.): 0.00

---

TmHgPd | PBE-GGA | optimized geometry

Geometry as POSCAR:
```
TmHgPd
1.0
-1.832 4.056 -1.413
-3.263 0.051 -3.341
-4.420 1.064 1.069
Tm Hg Pd
1 1 1
Cartesian
0.000 0.000 0.000
-4.757 2.585 -1.842
-2.379 1.293 -0.921
```

Values from the calculation:
ρ (g/cm³): 10.98
Magnetic moment (μB/f.u.): 0.00

---

Tm3HgPd3 | PBE-GGA | optimized geometry

Geometry as POSCAR:
```
Tm3HgPd3
1.0
-2.128 -3.979 -2.150
3.536 -4.940 5.644
-7.500 3.234 1.437
Tm Hg Pd
6 2 6
Cartesian
-3.620 -4.393 2.997
-0.751 -4.768 0.851
-0.845 -6.440 4.040
-2.472 -1.293 1.934
-5.341 -0.918 4.080
-5.246 0.754 0.891
-0.675 -3.210 3.705
-5.417 -2.475 1.227
-3.474 -2.529 5.214
-0.062 -1.952 0.769
1.512 -5.150 5.131
-2.618 -3.157 -0.283
-6.030 -3.734 4.163
-7.604 -0.535 -0.199
```

Values from the calculation:
ρ (g/cm³): 11.45
Magnetic moment (μB/f.u.): 0.00

---

Tm2HgPd3 | PBE-GGA | optimized geometry

Geometry as POSCAR:
```
Tm2HgPd3
1.0
-4.546 -0.002 -3.273
0.406 -7.291 -0.558
-3.978 2.704 5.523
Tm Hg Pd
4 2 6
Cartesian
-5.153 0.155 0.257
-4.133 -1.453 3.636
-2.689 -4.745 1.633
-3.709 -3.137 -1.745
-6.201 -3.763 1.715
-1.641 -0.826 0.175
-5.373 1.015 2.959
-7.646 1.014 1.322
-3.922 -2.295 0.945
-6.195 -2.296 -0.692
-4.743 -5.606 -2.705
-2.470 -5.605 -1.069
```

Values from the calculation:
ρ (g/cm³): 10.65
Magnetic moment (μB/f.u.): 0.00

---

Tm3Hg2Pd | PBE-GGA | optimized geometry

Geometry as POSCAR:
```
Tm3Hg2Pd
1.0
-1.095 3.241 -1.116
-3.025 -1.465 -1.287
-4.854 1.645 9.540
Tm Hg Pd
3 2 1
Cartesian
0.000 0.000 0.000
-3.166 1.073 6.222
-1.688 0.572 3.318
-6.085 2.253 6.709
-2.889 1.169 0.428
-4.487 1.711 3.569
```

Values from the calculation:
ρ (g/cm³): 12.01
Magnetic moment (μB/f.u.): 0.00

---

Tm2Hg2Pd | PBE-GGA | optimized geometry

Geometry as POSCAR:
```
Tm2Hg2Pd
1.0
-3.237 -4.692 0.264
3.223 -2.511 -5.100
4.220 0.919 6.402
Tm Hg Pd
4 4 2
Cartesian
3.510 -2.327 1.675
0.696 -3.957 -0.110
3.615 -2.624 -2.299
0.591 -3.660 3.865
2.882 -5.370 1.557
1.325 -0.914 0.008
1.945 -5.004 -3.402
2.261 -1.280 4.967
-0.816 -4.774 -2.352
0.802 -2.428 -2.484
```

Values from the calculation:
ρ (g/cm³): 11.79
Magnetic moment (μB/f.u.): 0.00

---

Tm3Hg2Pd8 | PBE-GGA | optimized geometry

Geometry as POSCAR:
```
Tm3Hg2Pd8
1.0
-2.345 -4.519 1.737
2.428 -3.032 3.721
-4.656 2.734 9.153
Tm Hg Pd
3 2 8
Cartesian
0.000 0.000 0.000
-2.565 -4.582 9.605
-2.008 -0.235 5.007
-0.380 -4.545 4.321
-4.193 -0.272 10.291
-3.817 -3.178 11.565
-0.756 -1.638 3.046
-0.243 -2.351 6.018
-2.647 -3.100 5.019
-1.424 -4.627 6.893
-1.926 -1.716 9.593
-4.331 -2.465 8.593
-3.149 -0.189 7.718
```

Values from the calculation:
ρ (g/cm³): 11.47
Magnetic moment (μB/f.u.): 0.00

---

Tm3Hg2Pd6 | PBE-GGA | optimized geometry

Geometry as POSCAR:
```
Tm3Hg2Pd6
1.0
3.843 0.000 0.000
0.000 3.843 0.000
-1.921 -1.921 15.527
Tm Hg Pd
3 2 6
Cartesian
0.000 0.000 0.000
1.921 1.921 9.730
0.000 0.000 5.797
0.000 0.000 11.399
1.921 1.921 4.128
0.000 1.921 2.081
1.921 0.000 2.081
1.921 0.000 13.446
0.000 1.921 13.446
1.921 1.921 6.958
0.000 0.000 8.569
```

Values from the calculation:
ρ (g/cm³): 11.20
Magnetic moment (μB/f.u.): 0.00

---

Number 1: energy -111.134 eV per cell, volume 17.1 A^3/atom. Number 2: energy -11.721 eV per cell, volume 21.6 A^3/atom. Number 3: energy -97.011 eV per cell, volume 24.6 A^3/atom. Number 4: energy -59.501 eV per cell, volume 22.2 A^3/atom. Number 5: energy -24.493 eV per cell, volume 21.6 A^3/atom. Number 6: energy -11.716 eV per cell, volume 24.0 A^3/atom. Number 7: energy -68.507 eV per cell, volume 21.3 A^3/atom. Number 8: energy -57.363 eV per cell, volume 22.3 A^3/atom. Number 9: energy -22.993 eV per cell, volume 23.4 A^3/atom. Number 10: energy -34.392 eV per cell, volume 23.8 A^3/atom. Number 11: energy -62.118 eV per cell, volume 19.6 A^3/atom. Number 12: energy -51.067 eV per cell, volume 20.8 A^3/atom.